--- 1 ---
{"formula": "NaVPd2", "functional": "PBE-GGA", "state": "relaxed", "lattice_angstrom": [[-0.8508, 2.3011, -1.4433], [-2.1837, 1.5541, 0.9583], [4.8612, 6.5224, 4.7267]], "species": ["Na", "Pd", "Pd", "V"], "frac_coords": [[0.5000, 0.5000, 0.5000], [0.7412, 0.7412, 0.7765], [0.2588, 0.2588, 0.2235], [0.0000, 0.0000, 0.0000]], "m_tot_mub_per_fu": 0.001, "mass_density_g_cm3": 7.33, "vol_a3_per_fu": 65.00}

--- 2 ---
{"formula": "NaVPd2", "functional": "PBE-GGA", "state": "relaxed", "lattice_angstrom": [[-0.9835, -2.6688, -0.0448], [0.7809, -0.3664, 4.6841], [-4.4004, 1.6073, 0.8593]], "species": ["Na", "Pd", "Pd", "V"], "frac_coords": [[0.5000, 0.0000, 0.0000], [0.0000, 0.0000, 0.5000], [0.0000, 0.5000, 0.0000], [0.5000, 0.5000, 0.5000]], "m_tot_mub_per_fu": 2.217, "mass_density_g_cm3": 7.38, "vol_a3_per_fu": 64.53}

Most stable one: 1, least stable one: 2.

--- 1 ---
{"formula": "NaVPd2", "functional": "PBE-GGA", "state": "relaxed", "lattice_angstrom": [[2.5224, 0.7853, 3.6456], [-1.8158, -0.3270, 4.1068], [1.1605, -3.4028, 2.7100]], "species": ["Na", "Pd", "Pd", "V"], "frac_coords": [[0.0000, 0.0000, 0.0000], [0.2500, 0.2500, 0.2500], [0.7500, 0.7500, 0.7500], [0.5000, 0.5000, 0.5000]], "m_tot_mub_per_fu": 2.393, "mass_density_g_cm3": 7.38, "vol_a3_per_fu": 64.53}

--- 2 ---
{"formula": "NaVPd2", "functional": "PBE-GGA", "state": "relaxed", "lattice_angstrom": [[7.1412, 0.0000, 0.0000], [0.0000, 7.1412, 0.0000], [3.5706, 3.5706, 2.8555]], "species": ["Na", "Na", "Pd", "Pd", "Pd", "Pd", "V", "V"], "frac_coords": [[0.5000, 0.5000, 0.0000], [0.2500, 0.7500, 0.5000], [0.6614, 0.1250, 0.2500], [0.0886, 0.6250, 0.2500], [0.3750, 0.3386, 0.7500], [0.8750, 0.9114, 0.7500], [0.0000, 0.0000, 0.0000], [0.7500, 0.2500, 0.5000]], "m_tot_mub_per_fu": 1.839, "mass_density_g_cm3": 6.54, "vol_a3_per_fu": 72.81}

Most stable one: 1, least stable one: 2.

--- 1 ---
{"formula": "NaV2Pd", "functional": "PBE-GGA", "state": "relaxed", "lattice_angstrom": [[0.0000, 3.2227, 3.2227], [3.2227, 0.0000, 3.2227], [3.2227, 3.2227, 0.0000]], "species": ["Na", "Pd", "V", "V"], "frac_coords": [[0.0000, 0.0000, 0.0000], [0.5000, 0.5000, 0.5000], [0.2500, 0.2500, 0.2500], [0.7500, 0.7500, 0.7500]], "m_tot_mub_per_fu": 5.266, "mass_density_g_cm3": 5.74, "vol_a3_per_fu": 66.94}

--- 2 ---
{"formula": "NaV2Pd", "functional": "PBE-GGA", "state": "relaxed", "lattice_angstrom": [[-0.9209, -2.3106, 2.6035], [1.0950, -2.7486, -2.0521], [9.3062, -1.7848, 4.1977]], "species": ["Na", "Na", "Pd", "Pd", "V", "V", "V", "V"], "frac_coords": [[0.5000, 0.5000, 0.0000], [0.2500, 0.7500, 0.5000], [0.0000, 0.0000, 0.0000], [0.7500, 0.2500, 0.5000], [0.6446, 0.1250, 0.2500], [0.1054, 0.6250, 0.2500], [0.3750, 0.3554, 0.7500], [0.8750, 0.8946, 0.7500]], "m_tot_mub_per_fu": 0.000, "mass_density_g_cm3": 5.90, "vol_a3_per_fu": 65.12}

Most stable one: 1, least stable one: 2.

--- 1 ---
{"formula": "Na3PdW", "functional": "PBE-GGA", "state": "relaxed", "lattice_angstrom": [[5.7538, 0.0000, 0.0000], [0.0000, 5.7538, 0.0000], [0.0000, 0.0000, 5.7538]], "species": ["Na", "Na", "Na", "Pd", "W"], "frac_coords": [[0.0000, 0.5000, 0.0000], [0.0000, 0.0000, 0.5000], [0.5000, 0.0000, 0.0000], [0.5000, 0.5000, 0.5000], [0.0000, 0.0000, 0.0000]], "m_tot_mub_per_fu": 5.090, "mass_density_g_cm3": 3.13, "vol_a3_per_fu": 190.49}

--- 2 ---
{"formula": "Na3PdW", "functional": "PBE-GGA", "state": "relaxed", "lattice_angstrom": [[-4.4127, 2.5598, -1.6233], [-3.0157, -3.4184, 2.8071], [0.3057, 3.2283, 4.2596]], "species": ["Na", "Na", "Na", "Pd", "W"], "frac_coords": [[0.0000, 0.5000, 0.0000], [0.0000, 0.0000, 0.5000], [0.5000, 0.0000, 0.0000], [0.0000, 0.0000, 0.0000], [0.5000, 0.5000, 0.5000]], "m_tot_mub_per_fu": 5.064, "mass_density_g_cm3": 3.89, "vol_a3_per_fu": 153.43}

Most stable one: 2, least stable one: 1.

--- 1 ---
{"formula": "NaPd2W", "functional": "PBE-GGA", "state": "relaxed", "lattice_angstrom": [[-4.8666, -0.7582, -5.2945], [-4.7702, -2.6222, 4.7601], [-5.7906, 1.0011, 0.2411]], "species": ["Na", "Na", "Pd", "Pd", "Pd", "Pd", "W", "W"], "frac_coords": [[0.5000, 0.5000, 0.0000], [0.2500, 0.7500, 0.5000], [0.6576, 0.1250, 0.2500], [0.0924, 0.6250, 0.2500], [0.3750, 0.3424, 0.7500], [0.8750, 0.9076, 0.7500], [0.0000, 0.0000, 0.0000], [0.7500, 0.2500, 0.5000]], "m_tot_mub_per_fu": 1.313, "mass_density_g_cm3": 9.17, "vol_a3_per_fu": 75.99}

--- 2 ---
{"formula": "NaPd2W", "functional": "PBE-GGA", "state": "relaxed", "lattice_angstrom": [[1.7162, -3.9860, 1.2352], [-2.7239, -3.5535, 0.5587], [0.1159, -3.4165, -2.9450]], "species": ["Na", "Pd", "Pd", "W"], "frac_coords": [[0.0000, 0.0000, 0.0000], [0.2500, 0.2500, 0.2500], [0.7500, 0.7500, 0.7500], [0.5000, 0.5000, 0.5000]], "m_tot_mub_per_fu": 0.000, "mass_density_g_cm3": 10.73, "vol_a3_per_fu": 64.96}

Most stable one: 2, least stable one: 1.

--- 1 ---
{"formula": "NaPdW2", "functional": "PBE-GGA", "state": "relaxed", "lattice_angstrom": [[-3.7425, -2.5145, 0.1475], [-4.0452, 1.9861, 0.2062], [-2.7655, -0.1396, -3.5614]], "species": ["Na", "Pd", "W", "W"], "frac_coords": [[0.0000, 0.0000, 0.0000], [0.5000, 0.5000, 0.5000], [0.2500, 0.2500, 0.2500], [0.7500, 0.7500, 0.7500]], "m_tot_mub_per_fu": 0.000, "mass_density_g_cm3": 12.72, "vol_a3_per_fu": 64.92}

--- 2 ---
{"formula": "NaPdW2", "functional": "PBE-GGA", "state": "relaxed", "lattice_angstrom": [[-5.5254, 2.4498, 4.7216], [4.1255, -2.3239, 6.0336], [0.4072, 2.3335, 5.4951]], "species": ["Na", "Na", "Pd", "Pd", "W", "W", "W", "W"], "frac_coords": [[0.5000, 0.5000, 0.0000], [0.2500, 0.7500, 0.5000], [0.0000, 0.0000, 0.0000], [0.7500, 0.2500, 0.5000], [0.6663, 0.1250, 0.2500], [0.0837, 0.6250, 0.2500], [0.3750, 0.3337, 0.7500], [0.8750, 0.9163, 0.7500]], "m_tot_mub_per_fu": 0.000, "mass_density_g_cm3": 11.10, "vol_a3_per_fu": 74.38}

Most stable one: 1, least stable one: 2.

--- 1 ---
{"formula": "NaYPd2", "functional": "PBE-GGA", "state": "relaxed", "lattice_angstrom": [[2.1886, -2.9062, 3.2097], [0.3116, 1.3274, 4.6561], [-2.6241, -2.3122, 3.3625]], "species": ["Y", "Na", "Pd", "Pd"], "frac_coords": [[0.5000, 0.5000, 0.5000], [0.0000, 0.0000, 0.0000], [0.2500, 0.2500, 0.2500], [0.7500, 0.7500, 0.7500]], "m_tot_mub_per_fu": 0.000, "mass_density_g_cm3": 6.68, "vol_a3_per_fu": 80.75}

--- 2 ---
{"formula": "NaYPd2", "functional": "PBE-GGA", "state": "relaxed", "lattice_angstrom": [[-2.7099, 1.5864, -1.4895], [-2.0621, -1.1126, 2.5668], [1.4152, 5.8768, 3.6844]], "species": ["Y", "Na", "Pd", "Pd"], "frac_coords": [[0.5000, 0.5000, 0.0000], [0.5000, 0.5000, 0.5000], [0.0000, 0.0000, 0.7715], [0.0000, 0.0000, 0.2285]], "m_tot_mub_per_fu": 0.000, "mass_density_g_cm3": 6.31, "vol_a3_per_fu": 85.51}

--- 3 ---
{"formula": "NaYPd2", "functional": "PBE-GGA", "state": "relaxed", "lattice_angstrom": [[7.5104, 0.0000, 0.0000], [0.0000, 7.5104, 0.0000], [3.7552, 3.7552, 3.0190]], "species": ["Y", "Y", "Na", "Na", "Pd", "Pd", "Pd", "Pd"], "frac_coords": [[0.0000, 0.0000, 0.0000], [0.7500, 0.2500, 0.5000], [0.5000, 0.5000, 0.0000], [0.2500, 0.7500, 0.5000], [0.6258, 0.1250, 0.2500], [0.1242, 0.6250, 0.2500], [0.3750, 0.3742, 0.7500], [0.8750, 0.8758, 0.7500]], "m_tot_mub_per_fu": 0.000, "mass_density_g_cm3": 6.33, "vol_a3_per_fu": 85.15}

Most stable one: 2, least stable one: 3.

--- 1 ---
{"formula": "NaY3Pd", "functional": "PBE-GGA", "state": "relaxed", "lattice_angstrom": [[5.5322, 0.0000, 0.0000], [0.0000, 5.5322, 0.0000], [0.0000, 0.0000, 5.5322]], "species": ["Y", "Y", "Y", "Na", "Pd"], "frac_coords": [[0.0000, 0.5000, 0.0000], [0.0000, 0.0000, 0.5000], [0.5000, 0.0000, 0.0000], [0.5000, 0.5000, 0.5000], [0.0000, 0.0000, 0.0000]], "m_tot_mub_per_fu": 0.000, "mass_density_g_cm3": 3.89, "vol_a3_per_fu": 169.31}

--- 2 ---
{"formula": "NaY3Pd", "functional": "PBE-GGA", "state": "relaxed", "lattice_angstrom": [[-1.7826, 0.9444, -5.0179], [-5.0561, 0.4147, 1.8743], [0.7121, 5.3090, 0.7462]], "species": ["Y", "Y", "Y", "Na", "Pd"], "frac_coords": [[0.0000, 0.5000, 0.0000], [0.0000, 0.0000, 0.5000], [0.5000, 0.0000, 0.0000], [0.0000, 0.0000, 0.0000], [0.5000, 0.5000, 0.5000]], "m_tot_mub_per_fu": 1.760, "mass_density_g_cm3": 4.16, "vol_a3_per_fu": 158.18}

Most stable one: 1, least stable one: 2.

--- 1 ---
{"formula": "NaY2Pd", "functional": "PBE-GGA", "state": "relaxed", "lattice_angstrom": [[3.4850, 0.0000, 0.0000], [0.0000, 3.4850, 0.0000], [0.0000, 0.0000, 9.4842]], "species": ["Y", "Y", "Na", "Pd"], "frac_coords": [[0.0000, 0.0000, 0.8196], [0.0000, 0.0000, 0.1804], [0.5000, 0.5000, 0.5000], [0.5000, 0.5000, 0.0000]], "m_tot_mub_per_fu": 0.000, "mass_density_g_cm3": 4.43, "vol_a3_per_fu": 115.19}

--- 2 ---
{"formula": "NaY2Pd", "functional": "PBE-GGA", "state": "relaxed", "lattice_angstrom": [[0.0000, 3.6643, 3.6643], [3.6643, 0.0000, 3.6643], [3.6643, 3.6643, 0.0000]], "species": ["Y", "Y", "Na", "Pd"], "frac_coords": [[0.2500, 0.2500, 0.2500], [0.7500, 0.7500, 0.7500], [0.0000, 0.0000, 0.0000], [0.5000, 0.5000, 0.5000]], "m_tot_mub_per_fu": 0.000, "mass_density_g_cm3": 5.18, "vol_a3_per_fu": 98.40}

--- 3 ---
{"formula": "NaY2Pd", "functional": "PBE-GGA", "state": "relaxed", "lattice_angstrom": [[-4.6711, -0.8519, -6.8478], [-5.3363, -4.7969, 4.2368], [-6.7554, -0.1178, -0.4474]], "species": ["Y", "Y", "Y", "Y", "Na", "Na", "Pd", "Pd"], "frac_coords": [[0.6829, 0.1250, 0.2500], [0.0671, 0.6250, 0.2500], [0.3750, 0.3171, 0.7500], [0.8750, 0.9329, 0.7500], [0.5000, 0.5000, 0.0000], [0.2500, 0.7500, 0.5000], [0.0000, 0.0000, 0.0000], [0.7500, 0.2500, 0.5000]], "m_tot_mub_per_fu": 0.991, "mass_density_g_cm3": 4.40, "vol_a3_per_fu": 115.83}

Most stable one: 1, least stable one: 3.

--- 1 ---
{"formula": "Na2YPd2", "functional": "PBE-GGA", "state": "relaxed", "lattice_angstrom": [[8.1415, 0.0000, 0.0000], [0.0000, 8.1415, 0.0000], [0.0000, 0.0000, 3.2162]], "species": ["Y", "Y", "Na", "Na", "Na", "Na", "Pd", "Pd", "Pd", "Pd"], "frac_coords": [[0.0000, 0.0000, 0.0000], [0.5000, 0.5000, 0.0000], [0.1199, 0.6199, 0.5000], [0.6199, 0.8801, 0.5000], [0.8801, 0.3801, 0.5000], [0.3801, 0.1199, 0.5000], [0.3182, 0.8182, 0.0000], [0.8182, 0.6818, 0.0000], [0.6818, 0.1818, 0.0000], [0.1818, 0.3182, 0.0000]], "m_tot_mub_per_fu": 0.000, "mass_density_g_cm3": 5.42, "vol_a3_per_fu": 106.59}

--- 2 ---
{"formula": "Na2YPd2", "functional": "PBE-GGA", "state": "relaxed", "lattice_angstrom": [[-0.6916, 3.3616, -1.8673], [-3.8127, -0.3525, 0.7776], [-1.3295, 5.1170, 5.6168]], "species": ["Y", "Na", "Na", "Pd", "Pd"], "frac_coords": [[0.0000, 0.0000, 0.0000], [0.7500, 0.2500, 0.5000], [0.2500, 0.7500, 0.5000], [0.4068, 0.4068, 0.1863], [0.5932, 0.5932, 0.8137]], "m_tot_mub_per_fu": 0.000, "mass_density_g_cm3": 5.25, "vol_a3_per_fu": 109.94}

Most stable one: 2, least stable one: 1.

--- 1 ---
{"formula": "Na3YPd", "functional": "PBE-GGA", "state": "relaxed", "lattice_angstrom": [[6.2235, 0.0000, 0.0000], [0.0000, 6.2235, 0.0000], [0.0000, 0.0000, 6.2235]], "species": ["Y", "Na", "Na", "Na", "Pd"], "frac_coords": [[0.0000, 0.0000, 0.0000], [0.0000, 0.5000, 0.0000], [0.0000, 0.0000, 0.5000], [0.5000, 0.0000, 0.0000], [0.5000, 0.5000, 0.5000]], "m_tot_mub_per_fu": 2.096, "mass_density_g_cm3": 1.82, "vol_a3_per_fu": 241.05}

--- 2 ---
{"formula": "Na3YPd", "functional": "PBE-GGA", "state": "relaxed", "lattice_angstrom": [[5.3513, 0.0000, 0.0000], [0.0000, 5.3513, 0.0000], [0.0000, 0.0000, 5.3513]], "species": ["Y", "Na", "Na", "Na", "Pd"], "frac_coords": [[0.5000, 0.5000, 0.5000], [0.0000, 0.5000, 0.0000], [0.0000, 0.0000, 0.5000], [0.5000, 0.0000, 0.0000], [0.0000, 0.0000, 0.0000]], "m_tot_mub_per_fu": 0.741, "mass_density_g_cm3": 2.86, "vol_a3_per_fu": 153.24}

Most stable one: 2, least stable one: 1.

--- 1 ---
{"formula": "NaZn2Pd2", "functional": "PBE-GGA", "state": "relaxed", "lattice_angstrom": [[-0.7407, -3.9645, -0.8653], [2.6078, 0.2088, -3.1890], [5.0435, -3.3581, 1.2368]], "species": ["Na", "Zn", "Zn", "Pd", "Pd"], "frac_coords": [[0.0000, 0.0000, 0.0000], [0.3856, 0.3856, 0.2289], [0.6144, 0.6144, 0.7711], [0.7500, 0.2500, 0.5000], [0.2500, 0.7500, 0.5000]], "m_tot_mub_per_fu": 0.000, "mass_density_g_cm3": 6.56, "vol_a3_per_fu": 92.78}

--- 2 ---
{"formula": "NaZn2Pd2", "functional": "PBE-GGA", "state": "relaxed", "lattice_angstrom": [[-0.4293, 3.7851, 6.5605], [4.0526, -5.4365, 3.4018], [2.4121, 1.3937, -0.6463]], "species": ["Na", "Na", "Zn", "Zn", "Zn", "Zn", "Pd", "Pd", "Pd", "Pd"], "frac_coords": [[0.0000, 0.0000, 0.0000], [0.5000, 0.5000, 0.0000], [0.3668, 0.8668, 0.0000], [0.8668, 0.6332, 0.0000], [0.6332, 0.1332, 0.0000], [0.1332, 0.3668, 0.0000], [0.1616, 0.6616, 0.5000], [0.6616, 0.8384, 0.5000], [0.8384, 0.3384, 0.5000], [0.3384, 0.1616, 0.5000]], "m_tot_mub_per_fu": 0.000, "mass_density_g_cm3": 7.40, "vol_a3_per_fu": 82.29}

Most stable one: 2, least stable one: 1.

--- 1 ---
{"formula": "Na2ZrPd", "functional": "PBE-GGA", "state": "relaxed", "lattice_angstrom": [[0.0000, 3.4723, 3.4723], [3.4723, 0.0000, 3.4723], [3.4723, 3.4723, 0.0000]], "species": ["Na", "Na", "Zr", "Pd"], "frac_coords": [[0.2500, 0.2500, 0.2500], [0.7500, 0.7500, 0.7500], [0.0000, 0.0000, 0.0000], [0.5000, 0.5000, 0.5000]], "m_tot_mub_per_fu": 1.165, "mass_density_g_cm3": 4.83, "vol_a3_per_fu": 83.73}

--- 2 ---
{"formula": "Na2ZrPd", "functional": "PBE-GGA", "state": "relaxed", "lattice_angstrom": [[-6.0820, -4.8381, 3.4794], [2.7002, -6.6692, -4.5536], [-0.0103, -6.4336, 1.4552]], "species": ["Na", "Na", "Na", "Na", "Zr", "Zr", "Pd", "Pd"], "frac_coords": [[0.6755, 0.1250, 0.2500], [0.0745, 0.6250, 0.2500], [0.3750, 0.3245, 0.7500], [0.8750, 0.9255, 0.7500], [0.5000, 0.5000, 0.0000], [0.2500, 0.7500, 0.5000], [0.0000, 0.0000, 0.0000], [0.7500, 0.2500, 0.5000]], "m_tot_mub_per_fu": 1.514, "mass_density_g_cm3": 4.14, "vol_a3_per_fu": 97.65}

Most stable one: 2, least stable one: 1.